1.
Entry from Alexandria: an optimized crystal structure of Cs3As2PbO8 (PBE).

Cell lengths 6.1996, 6.1996, 8.7268 Å; angles 90.00, 90.00, 120.00 degrees
Atoms (fractional coordinates):
Cs 0.0000 0.0000 0.0000
Cs 0.3333 0.6667 0.7420
Cs 0.6667 0.3333 0.2580
As 0.3333 0.6667 0.2725
As 0.6667 0.3333 0.7275
Pb 0.0000 0.0000 0.5000
O 0.1783 0.3567 0.3315
O 0.1783 0.8217 0.3315
O 0.3333 0.6667 0.0774
O 0.3567 0.1783 0.6685
O 0.6433 0.8217 0.3315
O 0.6667 0.3333 0.9226
O 0.8217 0.1783 0.6685
O 0.8217 0.6433 0.6685

Summary:
Space group = P-3m1
Uncorrected formation energy = -1.446 eV/atom
D(E_F) = 3.34 states/eV/f.u.

---

2.
Entry from Alexandria: an optimized crystal structure of SmTm3Ga3 (PBE).

Cell lengths 9.0924, 9.0924, 4.7575 Å; angles 90.00, 90.00, 120.00 degrees
Atoms (fractional coordinates):
Sm 0.3333 0.6667 0.2500
Sm 0.6667 0.3333 0.7500
Tm 0.0159 0.7630 0.7500
Tm 0.2370 0.2529 0.7500
Tm 0.2529 0.0159 0.2500
Tm 0.7471 0.9841 0.7500
Tm 0.7630 0.7471 0.2500
Tm 0.9841 0.2370 0.2500
Ga 0.0591 0.4494 0.7500
Ga 0.3903 0.9409 0.7500
Ga 0.4494 0.3903 0.2500
Ga 0.5506 0.6097 0.7500
Ga 0.6097 0.0591 0.2500
Ga 0.9409 0.5506 0.2500

Summary:
Space group = P6_3/m
D(E_F) = 4.79 states/eV/f.u.
Energy of formation from the pure elements = -0.438 eV per atom

---

3.
Entry from Alexandria: an optimized crystal structure of K2NaH2Cl (PBE).

Cell lengths 4.3551, 4.3551, 6.9414 Å; angles 90.00, 90.00, 90.00 degrees
Atoms (fractional coordinates):
K 0.0000 0.0000 0.2477
K 0.0000 0.0000 0.7523
Na 0.5000 0.5000 0.5000
H 0.0000 0.5000 0.5000
H 0.5000 0.0000 0.5000
Cl 0.5000 0.5000 0.0000

Summary:
Space group = P4/mmm
E = -2.738 eV per atom
D(E_F) = 0.00 states/eV/f.u.

---

4.
Entry from Alexandria: an optimized crystal structure of Ti5In2Si2 (PBE).

Cell lengths 7.7748, 7.7748, 6.7061 Å; angles 90.00, 90.00, 51.64 degrees
Atoms (fractional coordinates):
Ti 0.0000 0.0000 0.0000
Ti 0.0634 0.7060 0.6776
Ti 0.2060 0.5634 0.1776
Ti 0.2940 0.9366 0.6776
Ti 0.4366 0.7940 0.1776
Ti 0.5000 0.5000 0.5000
Ti 0.5634 0.2060 0.8224
Ti 0.7060 0.0634 0.3224
Ti 0.7940 0.4366 0.8224
Ti 0.9366 0.2940 0.3224
In 0.2225 0.2225 0.0000
In 0.2775 0.2775 0.5000
In 0.7225 0.7225 0.5000
In 0.7775 0.7775 0.0000
Si 0.1241 0.8759 0.3748
Si 0.3759 0.6241 0.8748
Si 0.6241 0.3759 0.1252
Si 0.8759 0.1241 0.6252

Summary:
Space group = Cmce
Uncorrected formation energy = -0.433 eV/atom
D(E_F) = 7.68 states/eV/f.u.

---

5.
Entry from Alexandria: an optimized crystal structure of Pu4TlPd3 (PBE).

Cell lengths 3.0944, 5.4729, 10.8440 Å; angles 90.00, 90.00, 90.00 degrees
Atoms (fractional coordinates):
Pu 0.0000 0.0000 0.0000
Pu 0.0000 0.0000 0.5000
Pu 0.0000 0.5000 0.2327
Pu 0.0000 0.5000 0.7673
Tl 0.5000 0.5000 0.5000
Pd 0.5000 0.0000 0.2503
Pd 0.5000 0.0000 0.7497
Pd 0.5000 0.5000 0.0000

Summary:
Space group = Pmmm
D(E_F) = 38.09 states/eV/f.u.
Energy of formation from the pure elements = -0.239 eV per atom

---

6.
Entry from Alexandria: an optimized crystal structure of InAuSe2Br (PBE).

Cell lengths 5.1480, 5.1480, 5.4210 Å; angles 90.00, 90.00, 90.00 degrees
Atoms (fractional coordinates):
In 0.0000 0.0000 0.0000
Au 0.5000 0.5000 0.5000
Se 0.0000 0.5000 0.5000
Se 0.5000 0.0000 0.5000
Br 0.5000 0.5000 0.0000

Summary:
Relative energy among the computed polymorphs = 0 meV/atom
Space group = P4/mmm
Uncorrected formation energy = 0.164 eV/atom
D(E_F) = 5.70 states/eV/f.u.

---

7.
Entry from Alexandria: an optimized crystal structure of BeBr2Cl (PBE).

Cell lengths 3.1545, 3.1545, 9.7679 Å; angles 90.00, 90.00, 90.00 degrees
Atoms (fractional coordinates):
Be 0.0000 0.0000 0.0000
Br 0.5000 0.5000 0.1593
Br 0.5000 0.5000 0.8407
Cl 0.0000 0.0000 0.5000

Summary:
Relative energy among the computed polymorphs = 939 meV/atom
Space group = P4/mmm
Uncorrected formation energy = 0.243 eV/atom
D(E_F) = 1.19 states/eV/f.u.

---

8.
Entry from Alexandria: an optimized crystal structure of Pa2Si4Pt3W (PBE).

Cell lengths 4.2386, 4.2386, 9.7503 Å; angles 90.00, 90.00, 90.00 degrees
Atoms (fractional coordinates):
Pa 0.0000 0.5000 0.2437
Pa 0.5000 0.0000 0.7563
Si 0.0000 0.0000 0.5000
Si 0.0000 0.5000 0.8651
Si 0.5000 0.0000 0.1349
Si 0.5000 0.5000 0.5000
Pt 0.0000 0.0000 0.0000
Pt 0.0000 0.5000 0.6195
Pt 0.5000 0.0000 0.3805
W 0.5000 0.5000 0.0000

Summary:
Space group = P-4m2
Uncorrected formation energy = -0.806 eV/atom
D(E_F) = 9.61 states/eV/f.u.

---

9.
Entry from Alexandria: an optimized crystal structure of MnAlFe4 (PBE).

Cell lengths 4.5653, 4.5653, 4.6025 Å; angles 90.00, 90.00, 119.41 degrees
Atoms (fractional coordinates):
Mn 0.0000 0.0000 0.0000
Al 0.5000 0.5000 0.5000
Fe 0.0000 0.5000 0.2453
Fe 0.0000 0.5000 0.7547
Fe 0.5000 0.0000 0.2453
Fe 0.5000 0.0000 0.7547

Summary:
Space group = Cmmm
D(E_F) = 7.16 states/eV/f.u.
Energy of formation from the pure elements = 0.538 eV per atom

---

10.
Entry from Alexandria: an optimized crystal structure of YScCdAu (PBE).

Cell lengths 5.0562, 5.0562, 5.0562 Å; angles 60.00, 60.00, 60.00 degrees
Atoms (fractional coordinates):
Y 0.0000 0.0000 0.0000
Sc 0.5000 0.5000 0.5000
Cd 0.2500 0.2500 0.2500
Au 0.7500 0.7500 0.7500

Summary:
Relative energy among the computed polymorphs = 39 meV/atom
Space group = F-43m
D(E_F) = 4.10 states/eV/f.u.
Energy of formation from the pure elements = -0.535 eV per atom

---

11.
Entry from Alexandria: an optimized crystal structure of UCuSe3I (PBE).

Cell lengths 9.4527, 9.4527, 10.3792 Å; angles 90.00, 90.00, 156.46 degrees
Atoms (fractional coordinates):
U 0.0000 0.0000 0.0000
U 0.0000 0.0000 0.5000
Cu 0.4732 0.5268 0.7500
Cu 0.5268 0.4732 0.2500
Se 0.0555 0.9445 0.7500
Se 0.3999 0.6001 0.5587
Se 0.3999 0.6001 0.9413
Se 0.6001 0.3999 0.0587
Se 0.6001 0.3999 0.4413
Se 0.9445 0.0555 0.2500
I 0.2650 0.7350 0.2500
I 0.7350 0.2650 0.7500

Summary:
Space group = Cmcm
Uncorrected formation energy = -0.603 eV/atom
D(E_F) = 4.48 states/eV/f.u.

---

12.
Entry from Alexandria: an optimized crystal structure of NdDy5Tl8 (PBE).

Cell lengths 8.0660, 8.0660, 8.0660 Å; angles 109.94, 109.94, 108.54 degrees
Atoms (fractional coordinates):
Nd 0.0000 0.0000 0.0000
Dy 0.2401 0.1191 0.6184
Dy 0.3783 0.7599 0.8790
Dy 0.5007 0.6217 0.3816
Dy 0.7500 0.2500 0.5000
Dy 0.8809 0.4993 0.1210
Tl 0.1265 0.3818 0.4213
Tl 0.1344 0.3848 0.9158
Tl 0.2948 0.8735 0.2552
Tl 0.4690 0.2186 0.0842
Tl 0.6152 0.5310 0.7496
Tl 0.6182 0.0396 0.7448
Tl 0.7814 0.8656 0.2504
Tl 0.9604 0.7052 0.5787

Summary:
Space group = I-4
D(E_F) = 11.47 states/eV/f.u.
Energy of formation from the pure elements = -0.245 eV per atom

---

13.
Entry from Alexandria: an optimized crystal structure of Ac3Cu4Ag2 (PBE).

Cell lengths 6.1373, 6.1373, 8.8328 Å; angles 105.31, 105.31, 43.68 degrees
Atoms (fractional coordinates):
Ac 0.0000 0.0000 0.0000
Ac 0.3368 0.3368 0.3287
Ac 0.6632 0.6632 0.6713
Cu 0.0549 0.0549 0.3964
Cu 0.2714 0.2714 0.9517
Cu 0.7286 0.7286 0.0483
Cu 0.9451 0.9451 0.6036
Ag 0.3841 0.3841 0.7215
Ag 0.6159 0.6159 0.2785

Summary:
Space group = C2/m
D(E_F) = 6.22 states/eV/f.u.
Energy of formation from the pure elements = -0.220 eV per atom

---

14.
Entry from Alexandria: an optimized crystal structure of CoTc3Ge6 (PBE).

Cell lengths 6.0985, 6.4586, 9.8624 Å; angles 90.00, 124.91, 90.00 degrees
Atoms (fractional coordinates):
Co 0.0000 0.0000 0.0000
Co 0.0000 0.5000 0.5000
Tc 0.3118 0.1616 0.7426
Tc 0.3118 0.3384 0.2426
Tc 0.5000 0.0000 0.5000
Tc 0.5000 0.5000 0.0000
Tc 0.6882 0.6616 0.7574
Tc 0.6882 0.8384 0.2574
Ge 0.0499 0.0082 0.2486
Ge 0.0499 0.4918 0.7486
Ge 0.1875 0.6685 0.0584
Ge 0.1875 0.8315 0.5584
Ge 0.4049 0.1420 0.0499
Ge 0.4049 0.3580 0.5499
Ge 0.5951 0.6420 0.4501
Ge 0.5951 0.8580 0.9501
Ge 0.8125 0.1685 0.4416
Ge 0.8125 0.3315 0.9416
Ge 0.9501 0.5082 0.2514
Ge 0.9501 0.9918 0.7514

Summary:
Space group = P2_1/c
D(E_F) = 6.31 states/eV/f.u.
Energy of formation from the pure elements = 0.012 eV per atom

---

15.
Entry from Alexandria: an optimized crystal structure of NaTlBiSb (PBE).

Cell lengths 5.5314, 5.5314, 5.5314 Å; angles 60.00, 60.00, 60.00 degrees
Atoms (fractional coordinates):
Na 0.0000 0.0000 0.0000
Tl 0.7500 0.7500 0.7500
Bi 0.5000 0.5000 0.5000
Sb 0.2500 0.2500 0.2500

Summary:
Relative energy among the computed polymorphs = 0 meV/atom
Space group = F-43m
Uncorrected formation energy = -0.050 eV/atom
D(E_F) = 3.90 states/eV/f.u.

---

16.
Entry from Alexandria: an optimized crystal structure of RbAlGe (PBE).

Cell lengths 6.3740, 6.3740, 9.1629 Å; angles 90.00, 90.00, 120.00 degrees
Atoms (fractional coordinates):
Rb 0.3333 0.6667 0.2500
Rb 0.6667 0.3333 0.7500
Al 0.0000 0.0000 0.2500
Al 0.0000 0.0000 0.7500
Ge 0.0000 0.0000 0.0000
Ge 0.0000 0.0000 0.5000

Summary:
Space group = P6_3/mmc
D(E_F) = 1.23 states/eV/f.u.
Energy of formation from the pure elements = 0.521 eV per atom

---

17.
Entry from Alexandria: an optimized crystal structure of Ba2LaEu (PBE).

Cell lengths 6.6061, 6.6061, 4.5529 Å; angles 90.00, 90.00, 90.00 degrees
Atoms (fractional coordinates):
Ba 0.0000 0.5000 0.0000
Ba 0.5000 0.0000 0.0000
La 0.0000 0.0000 0.5000
Eu 0.5000 0.5000 0.5000

Summary:
Relative energy among the computed polymorphs = 35 meV/atom
Space group = P4/mmm
D(E_F) = 14.26 states/eV/f.u.
Energy of formation from the pure elements = 0.166 eV per atom

---

18.
Entry from Alexandria: an optimized crystal structure of RbBe2H2 (PBE).

Cell lengths 4.0915, 6.3109, 6.6516 Å; angles 107.26, 97.11, 92.99 degrees
Atoms (fractional coordinates):
Rb 0.0000 0.0000 0.0000
Rb 0.4609 0.3872 0.6106
Be 0.1143 0.8145 0.4443
Be 0.3023 0.5918 0.1729
Be 0.6219 0.8305 0.4537
Be 0.7784 0.5679 0.1896
H 0.4083 0.8804 0.6247
H 0.5120 0.3944 0.1819
H 0.5254 0.6416 0.0313
H 0.9005 0.0089 0.4874

Summary:
Relative energy among the computed polymorphs = 23 meV/atom
Space group = P1
D(E_F) = 0.28 states/eV/f.u.

---

19.
Entry from Alexandria: an optimized crystal structure of Cu11PdN4 (PBE).

Cell lengths 7.4362, 7.4362, 3.8165 Å; angles 90.00, 90.00, 90.00 degrees
Atoms (fractional coordinates):
Cu 0.0000 0.0000 0.0000
Cu 0.0000 0.5000 0.0000
Cu 0.2394 0.2394 0.0000
Cu 0.2394 0.7606 0.0000
Cu 0.2426 0.5000 0.5000
Cu 0.5000 0.0000 0.0000
Cu 0.5000 0.2426 0.5000
Cu 0.5000 0.7574 0.5000
Cu 0.7574 0.5000 0.5000
Cu 0.7606 0.2394 0.0000
Cu 0.7606 0.7606 0.0000
Pd 0.5000 0.5000 0.0000
N 0.0000 0.0000 0.5000
N 0.0000 0.5000 0.5000
N 0.5000 0.0000 0.5000
N 0.5000 0.5000 0.5000

Summary:
Relative energy among the computed polymorphs = 304 meV/atom
Space group = P4/mmm
Uncorrected formation energy = 0.623 eV/atom
D(E_F) = 4.64 states/eV/f.u.

---

20.
Entry from Alexandria: an optimized crystal structure of CdP2W (PBE).

Cell lengths 7.7072, 7.7072, 7.7072 Å; angles 24.71, 24.71, 24.71 degrees
Atoms (fractional coordinates):
Cd 0.0000 0.0000 0.0000
P 0.2371 0.2371 0.2371
P 0.7629 0.7629 0.7629
W 0.5000 0.5000 0.5000

Summary:
Relative energy among the computed polymorphs = 0 meV/atom
Space group = R-3m
D(E_F) = 1.31 states/eV/f.u.
Energy of formation from the pure elements = -0.024 eV per atom